This record from the Alexandria database describes a geometry-optimized NiHg3W structure. The functional is PBE. Values from VASP.

size of the total moment	0.000	μB per formula unit
ΔH_f (0 K)	1.4315	eV per atom
ΔE to the lowest computed polymorph	0	meV per atom
volume	21.68	Å³/atom
symmetry	Pm-3m, No. 221
E_tot	-12.48	eV per cell

```
&SYSTEM
  ibrav = 0, nat = 5, ntyp = 3
/
ATOMIC_SPECIES
Ni 58.69 Ni.upf
Hg 200.59 Hg.upf
W 183.84 W.upf
CELL_PARAMETERS angstrom
4.7683 0.0000 0.0000
0.0000 4.7683 0.0000
0.0000 0.0000 4.7683
ATOMIC_POSITIONS crystal
Ni 0.0000 0.0000 0.0000
Hg 0.0000 0.0000 0.5000
Hg 0.0000 0.5000 0.0000
Hg 0.5000 0.0000 0.0000
W 0.5000 0.5000 0.5000
```